AsSeF2: relaxed, PBE.

extended XYZ file:
```
16
Lattice="4.280 0.000 0.000 0.000 5.143 0.000 -1.237 0.000 15.826" Properties=species:S:1:pos:R:3 pbc="T T T"
As 0.593 1.216 1.805
As -0.026 1.356 9.718
As 3.069 3.787 6.107
As 2.451 3.927 14.020
Se 1.571 3.503 4.151
Se 0.953 4.211 12.064
Se 2.091 0.932 3.762
Se 1.473 1.639 11.674
F -0.354 3.085 9.441
F 0.264 4.629 1.528
F 1.295 1.270 8.529
F 1.913 1.302 0.616
F 1.131 3.841 15.210
F 1.749 3.873 7.297
F 2.779 0.514 14.297
F 3.398 2.057 6.384
```

Summary:
Energy above the lowest structure with this stoichiometry = 0 meV/atom
E_form (uncorrected) = -31.40 kcal/mol of atoms
Symmetry = P2_1/c (14)
Total DFT energy (no corrections) = -69.291 eV for the cell shown